Material: LaDyPCl
Method: DFT, PBE-GGA
State: optimized geometry

V (Å³/cell): 101.28
Total energy (eV/atom): -5.799
Raw formation energy (meV per atom): -1602.8

The structure in extended XYZ format:
```
4
Lattice="2.0122 1.1618 7.2217 -2.0122 1.1618 7.2217 0.0000 -2.3235 7.2217" Properties=species:S:1:pos:R:3 pbc="T T T"
La 0.0000 0.0000 0.0000
Dy 0.0000 0.0000 17.5144
P 0.0000 0.0000 8.9171
Cl 0.0000 0.0000 4.9935
```